Entry 1:
Below is a relaxed structure of NaCuTe2, with properties calculated at the PBE level.

Cell: 4.2950 4.2950 11.4190 Å, 90.00 90.00 90.00°
Last column: nearest neighbours and their distance in Å.
Element x y z (fractional)
Cu (0.0000, 0.0000, 0.0000)  4 Te 2.68
Cu (0.5000, 0.5000, 0.0000)  4 Te 2.68
Te (0.0000, 0.5000, 0.8599)  4 Cu 2.68
Te (0.0000, 0.0000, 0.5000)  4 Te 3.04
Te (0.5000, 0.0000, 0.1401)  4 Cu 2.68
Te (0.5000, 0.5000, 0.5000)  4 Te 3.04
Na (0.5000, 0.0000, 0.7498)  8 Te 3.29-3.57, 4 Cu 3.57
Na (0.0000, 0.5000, 0.2502)  8 Te 3.29-3.57, 4 Cu 3.57

=====

Entry 2:
Below is a relaxed structure of Na2CuTe2, with properties calculated at the PBE level.

Cell: 6.4004 6.6784 7.9359 Å, 114.88 113.78 90.00°
Last column: nearest neighbours and their distance in Å.
Element x y z (fractional)
Te (0.6191, 0.4078, 0.2382)  2 Cu 2.63
Te (0.1191, 0.8303, 0.2382)  2 Cu 2.63
Te (0.3809, 0.5922, 0.7618)  2 Cu 2.63
Te (0.8809, 0.1697, 0.7618)  2 Cu 2.63
Cu (0.7500, 0.5000, 0.0000)  4 Te 2.63
Cu (0.2500, 0.5000, 0.0000)  4 Te 2.63
Na (0.1340, 0.3229, 0.2681)  2 Cu 3.14, 6 Te 3.19-3.49
Na (0.8660, 0.6771, 0.7319)  2 Cu 3.14, 6 Te 3.19-3.49
Na (0.3660, 0.0548, 0.7319)  2 Cu 3.14, 6 Te 3.19-3.49
Na (0.6340, 0.9452, 0.2681)  2 Cu 3.14, 6 Te 3.19-3.49

Calculated values
Offset from the most stable computed form   0.00 eV/f.u.

=====

Entry 3:
Below is a relaxed structure of Na2CuTe2, with properties calculated at the PBE level.

Cell: 4.5373 6.2732 10.1736 Å, 93.17 77.12 68.80°
Last column: nearest neighbours and their distance in Å.
Element x y z (fractional)
Te (0.9188, 0.7645, 0.3980)  3 Cu 2.66-2.76
Te (0.0812, 0.2355, 0.6020)  3 Cu 2.66-2.76
Te (0.3282, 0.2082, 0.1355)  1 Cu 2.67
Te (0.6718, 0.7918, 0.8645)  1 Cu 2.67
Cu (0.3405, 0.9730, 0.3460)  4 Te 2.66-2.76
Cu (0.6595, 0.0270, 0.6540)  4 Te 2.66-2.76
Na (0.3421, 0.6648, 0.6510)  2 Cu 3.10, 5 Te 3.12-3.44, 1 Na 3.31
Na (0.9245, 0.2380, 0.9129)  6 Te 3.08-3.44
Na (0.0755, 0.7620, 0.0871)  6 Te 3.08-3.44
Na (0.6579, 0.3352, 0.3490)  2 Cu 3.10, 5 Te 3.12-3.44, 1 Na 3.31

Calculated values
Offset from the most stable computed form   0.08 eV/f.u.

=====

Entry 4:
Below is a relaxed structure of NaCu4Te5, with properties calculated at the PBE level.

Cell: 5.8793 7.9190 11.8367 Å, 90.00 90.00 90.00°
Last column: nearest neighbours and their distance in Å.
Element x y z (fractional)
Te (0.2707, 0.7401, 0.1972)  3 Cu 2.54-2.70
Te (0.7293, 0.2401, 0.3028)  3 Cu 2.54-2.70
Te (0.2707, 0.2599, 0.8028)  3 Cu 2.54-2.70
Te (0.2171, 0.0000, 0.5000)  4 Cu 2.57-2.68
Te (0.7829, 0.5000, 0.0000)  4 Cu 2.57-2.68
Te (0.7293, 0.7599, 0.6972)  3 Cu 2.54-2.70
Te (0.2707, 0.7401, 0.8028)  3 Cu 2.54-2.70
Te (0.7293, 0.7599, 0.3028)  3 Cu 2.54-2.70
Te (0.7293, 0.2401, 0.6972)  3 Cu 2.54-2.70
Te (0.2707, 0.2599, 0.1972)  3 Cu 2.54-2.70
Cu (0.9457, 0.5000, 0.7883)  5 Te 2.65-2.70
Cu (0.4155, 0.3248, 0.0000)  3 Te 2.54-2.57, 1 Cu 2.78
Cu (0.5845, 0.1752, 0.5000)  3 Te 2.54-2.57, 1 Cu 2.78
Cu (0.4155, 0.6752, 0.0000)  3 Te 2.54-2.57, 1 Cu 2.78
Cu (0.9457, 0.5000, 0.2117)  5 Te 2.65-2.70
Cu (0.0543, 0.0000, 0.2883)  5 Te 2.65-2.70
Cu (0.0543, 0.0000, 0.7117)  5 Te 2.65-2.70
Cu (0.5845, 0.8248, 0.5000)  3 Te 2.54-2.57, 1 Cu 2.78
Na (0.0624, 0.0000, 0.0000)  4 Cu 3.31-3.41, 4 Te 3.34
Na (0.9376, 0.5000, 0.5000)  4 Cu 3.31-3.41, 4 Te 3.34

=====

Entry 5:
Below is a relaxed structure of NaCu3Te, with properties calculated at the PBE level.

Cell: 5.0123 5.0123 5.0123 Å, 90.00 90.00 90.00°
Last column: nearest neighbours and their distance in Å.
Element x y z (fractional)
Te (0.0000, 0.0000, 0.0000)  6 Cu 2.51
Cu (0.0000, 0.0000, 0.5000)  2 Te 2.51
Cu (0.5000, 0.0000, 0.0000)  2 Te 2.51
Cu (0.0000, 0.5000, 0.0000)  2 Te 2.51
Na (0.5000, 0.5000, 0.5000)  12 Cu 3.54

Calculated values
Offset from the most stable computed form   0.00 eV/f.u.

=====

Entry 6:
Below is a relaxed structure of NaCu6Te8, with properties calculated at the PBE level.

Cell: 7.0578 7.0578 7.0578 Å, 87.34 87.34 87.34°
Last column: nearest neighbours and their distance in Å.
Element x y z (fractional)
Na (0.0000, 0.0000, 0.0000)  8 Te 3.08-3.40
Cu (0.5910, 0.4303, 0.7559)  5 Te 2.65-2.82, 4 Cu 2.75-2.85
Cu (0.2441, 0.4090, 0.5697)  5 Te 2.65-2.82, 4 Cu 2.75-2.85
Cu (0.5697, 0.2441, 0.4090)  5 Te 2.65-2.82, 4 Cu 2.75-2.85
Cu (0.4090, 0.5697, 0.2441)  5 Te 2.65-2.82, 4 Cu 2.75-2.85
Cu (0.4303, 0.7559, 0.5910)  5 Te 2.65-2.82, 4 Cu 2.75-2.85
Cu (0.7559, 0.5910, 0.4303)  5 Te 2.65-2.82, 4 Cu 2.75-2.85
Te (0.7587, 0.7587, 0.7587)  3 Cu 2.65
Te (0.8958, 0.2405, 0.5870)  4 Cu 2.67-2.82
Te (0.1042, 0.7595, 0.4130)  4 Cu 2.67-2.82
Te (0.4130, 0.1042, 0.7595)  4 Cu 2.67-2.82
Te (0.5870, 0.8958, 0.2405)  4 Cu 2.67-2.82
Te (0.2405, 0.5870, 0.8958)  4 Cu 2.67-2.82
Te (0.7595, 0.4130, 0.1042)  4 Cu 2.67-2.82
Te (0.2413, 0.2413, 0.2413)  3 Cu 2.65

=====

Entry 7:
Below is a relaxed structure of NaCu4Te2, with properties calculated at the PBE level.

Cell: 4.6927 4.6927 7.6631 Å, 72.17 72.17 90.00°
Last column: nearest neighbours and their distance in Å.
Element x y z (fractional)
Te (0.6258, 0.6258, 0.7484)  1 Cu 2.48
Te (0.3742, 0.3742, 0.2516)  1 Cu 2.48
Cu (0.8057, 0.8057, 0.3887)  1 Te 2.48, 1 Na 2.68
Cu (0.0000, 0.5000, 0.0000)  2 Na 2.35
Cu (0.5000, 0.0000, 0.0000)  2 Na 2.35
Cu (0.1943, 0.1943, 0.6113)  1 Te 2.48, 1 Na 2.68
Na (0.0000, 0.0000, 0.0000)  4 Cu 2.35

Calculated values
Offset from the most stable computed form   5.43 eV/f.u.

=====

Entry 8:
Below is a relaxed structure of Na3Cu5Te12, with properties calculated at the PBE level.

Cell: 14.4605 14.4605 14.4605 Å, 109.47 109.47 109.47°
Last column: nearest neighbours and their distance in Å.
Element x y z (fractional)
Te (0.4747, 0.7861, 0.9143)  2 Cu 2.59-2.76
Te (0.9143, 0.6282, 0.9396)  2 Cu 2.59-2.76
Te (0.4747, 0.6886, 0.0604)  2 Cu 2.59-2.76
Te (0.0604, 0.8718, 0.0857)  2 Cu 2.59-2.76
Te (0.4396, 0.0253, 0.3114)  2 Cu 2.59-2.76
Te (0.7139, 0.0857, 0.0253)  2 Cu 2.59-2.76
Te (0.3718, 0.0857, 0.5604)  2 Cu 2.59-2.76
Te (0.5857, 0.5604, 0.8718)  2 Cu 2.59-2.76
Te (0.0857, 0.7139, 0.5253)  2 Cu 2.59-2.76
Te (0.2139, 0.5253, 0.5857)  2 Cu 2.59-2.76
Te (0.9396, 0.8114, 0.5253)  2 Cu 2.59-2.76
Te (0.9747, 0.4143, 0.2861)  2 Cu 2.59-2.76
Te (0.5253, 0.2139, 0.0857)  2 Cu 2.59-2.76
Te (0.6282, 0.9143, 0.4396)  2 Cu 2.59-2.76
Te (0.9396, 0.1282, 0.9143)  2 Cu 2.59-2.76
Te (0.2861, 0.3718, 0.8114)  2 Cu 2.59-2.76
Te (0.3114, 0.5253, 0.4396)  2 Cu 2.59-2.76
Te (0.8114, 0.8718, 0.2861)  2 Cu 2.59-2.76
Te (0.5604, 0.9747, 0.6886)  2 Cu 2.59-2.76
Te (0.8718, 0.8114, 0.7861)  2 Cu 2.59-2.76
Te (0.1886, 0.1282, 0.7139)  2 Cu 2.59-2.76
Te (0.4143, 0.4396, 0.1282)  2 Cu 2.59-2.76
Te (0.4396, 0.4143, 0.6282)  2 Cu 2.59-2.76
Te (0.0604, 0.1886, 0.4747)  2 Cu 2.59-2.76
Te (0.0857, 0.3718, 0.0604)  2 Cu 2.59-2.76
Te (0.6282, 0.7139, 0.6886)  2 Cu 2.59-2.76
Te (0.3114, 0.7861, 0.3718)  2 Cu 2.59-2.76
Te (0.5604, 0.5857, 0.3718)  2 Cu 2.59-2.76
Te (0.6886, 0.2139, 0.6282)  2 Cu 2.59-2.76
Te (0.5857, 0.0253, 0.2139)  2 Cu 2.59-2.76
Te (0.3718, 0.2861, 0.3114)  2 Cu 2.59-2.76
Te (0.5253, 0.3114, 0.9396)  2 Cu 2.59-2.76
Te (0.0253, 0.5857, 0.7139)  2 Cu 2.59-2.76
Te (0.2861, 0.9143, 0.9747)  2 Cu 2.59-2.76
Te (0.6886, 0.4747, 0.5604)  2 Cu 2.59-2.76
Te (0.8114, 0.9396, 0.0253)  2 Cu 2.59-2.76
Te (0.9143, 0.2861, 0.4747)  2 Cu 2.59-2.76
Te (0.1282, 0.1886, 0.2139)  2 Cu 2.59-2.76
Te (0.7139, 0.6282, 0.1886)  2 Cu 2.59-2.76
Te (0.1282, 0.9396, 0.4143)  2 Cu 2.59-2.76
Te (0.1886, 0.0604, 0.9747)  2 Cu 2.59-2.76
Te (0.7861, 0.4747, 0.4143)  2 Cu 2.59-2.76
Te (0.7861, 0.3114, 0.8718)  2 Cu 2.59-2.76
Te (0.9747, 0.5604, 0.1886)  2 Cu 2.59-2.76
Te (0.8718, 0.0604, 0.5857)  2 Cu 2.59-2.76
Te (0.4143, 0.9747, 0.7861)  2 Cu 2.59-2.76
Te (0.0253, 0.4396, 0.8114)  2 Cu 2.59-2.76
Te (0.2139, 0.6886, 0.1282)  2 Cu 2.59-2.76
Cu (0.0000, 0.0000, 0.0000)  6 Te 2.76
Cu (0.3750, 0.1250, 0.7500)  4 Te 2.59
Cu (0.7500, 0.6250, 0.3750)  4 Te 2.59
Cu (0.5000, 0.0000, 0.5000)  6 Te 2.76
Cu (0.8750, 0.2500, 0.6250)  4 Te 2.59
Cu (0.1250, 0.7500, 0.3750)  4 Te 2.59
Cu (0.5000, 0.5000, 0.0000)  6 Te 2.76
Cu (0.6250, 0.8750, 0.2500)  4 Te 2.59
Cu (0.2500, 0.8750, 0.1250)  4 Te 2.59
Cu (0.2500, 0.3750, 0.6250)  4 Te 2.59
Cu (0.0000, 0.5000, 0.0000)  6 Te 2.76
Cu (0.6250, 0.7500, 0.8750)  4 Te 2.59
Cu (0.8750, 0.6250, 0.7500)  4 Te 2.59
Cu (0.0000, 0.5000, 0.5000)  6 Te 2.76
Cu (0.7500, 0.1250, 0.8750)  4 Te 2.59
Cu (0.3750, 0.2500, 0.1250)  4 Te 2.59
Cu (0.5000, 0.5000, 0.5000)  6 Te 2.76
Cu (0.1250, 0.3750, 0.2500)  4 Te 2.59
Cu (0.0000, 0.0000, 0.5000)  6 Te 2.76
Cu (0.5000, 0.0000, 0.0000)  6 Te 2.76
Na (0.3750, 0.7500, 0.6250)  4 Te 3.02
Na (0.7500, 0.8750, 0.6250)  4 Te 3.02
Na (0.6250, 0.3750, 0.7500)  4 Te 3.02
Na (0.8750, 0.7500, 0.1250)  4 Te 3.02
Na (0.1250, 0.8750, 0.7500)  4 Te 3.02
Na (0.1250, 0.2500, 0.8750)  4 Te 3.02
Na (0.2500, 0.1250, 0.3750)  4 Te 3.02
Na (0.3750, 0.6250, 0.2500)  4 Te 3.02
Na (0.6250, 0.2500, 0.3750)  4 Te 3.02
Na (0.2500, 0.6250, 0.8750)  4 Te 3.02
Na (0.7500, 0.3750, 0.1250)  4 Te 3.02
Na (0.8750, 0.1250, 0.2500)  4 Te 3.02

=====

Entry 9:
Below is a relaxed structure of NaCu3Te3, with properties calculated at the PBE level.

Cell: 4.1628 9.2209 9.2209 Å, 120.00 90.00 90.00°
Last column: nearest neighbours and their distance in Å.
Element x y z (fractional)
Cu (0.7500, 0.1479, 0.9627)  6 Cu 2.60-2.71, 3 Te 2.70-2.74
Cu (0.7500, 0.8148, 0.8521)  6 Cu 2.60-2.71, 3 Te 2.70-2.74
Cu (0.2500, 0.8521, 0.0373)  6 Cu 2.60-2.71, 3 Te 2.70-2.74
Cu (0.7500, 0.0373, 0.1852)  6 Cu 2.60-2.71, 3 Te 2.70-2.74
Cu (0.2500, 0.1852, 0.1479)  6 Cu 2.60-2.71, 3 Te 2.70-2.74
Cu (0.2500, 0.9627, 0.8148)  6 Cu 2.60-2.71, 3 Te 2.70-2.74
Te (0.7500, 0.9477, 0.6208)  4 Cu 2.70-2.94
Te (0.2500, 0.0523, 0.3792)  4 Cu 2.70-2.94
Te (0.7500, 0.3792, 0.3269)  4 Cu 2.70-2.94
Te (0.7500, 0.6731, 0.0523)  4 Cu 2.70-2.94
Te (0.2500, 0.6208, 0.6731)  4 Cu 2.70-2.94
Te (0.2500, 0.3269, 0.9477)  4 Cu 2.70-2.94
Na (0.7500, 0.3333, 0.6667)  9 Te 3.35-3.36
Na (0.2500, 0.6667, 0.3333)  9 Te 3.35-3.36

Calculated values
Offset from the most stable computed form   0.65 eV/f.u.

=====

Number 1: total moment 0.000 μB/f.u., E_tot -3.2988 eV/atom, uncorrected formation energy -0.374 eV per atom. Number 2: total moment 0.000 μB/f.u., E_tot -3.1425 eV/atom, uncorrected formation energy -0.539 eV per atom. Number 3: total moment 0.000 μB/f.u., E_tot -3.1262 eV/atom, uncorrected formation energy -0.523 eV per atom. Number 4: total moment 0.000 μB/f.u., E_tot -3.4296 eV/atom, uncorrected formation energy -0.088 eV per atom. Number 5: total moment 0.000 μB/f.u., E_tot -2.8318 eV/atom, uncorrected formation energy 0.518 eV per atom. Number 6: total moment 0.000 μB/f.u., E_tot -3.4026 eV/atom, uncorrected formation energy -0.001 eV per atom. Number 7: total moment 0.000 μB/f.u., E_tot -2.7974 eV/atom, uncorrected formation energy 0.629 eV per atom. Number 8: total moment 0.000 μB/f.u., E_tot -3.2065 eV/atom, uncorrected formation energy -0.100 eV per atom. Number 9: total moment 0.000 μB/f.u., E_tot -3.4507 eV/atom, uncorrected formation energy -0.160 eV per atom.